# 1
A geometry-optimized La2EuCd structure, computed with PBE.

The structure belongs to space group P4/mmm (No. 123); the cell edges are 5.341, 5.341 and 4.649 Å and the angles 90.00°, 90.00° and 90.00°. The asymmetric unit holds La at (0.000, 0.500, 0.000), Eu at (0.000, 0.000, 0.500) and Cd at (0.500, 0.500, 0.500).

As for the polymorph energy (0 for the lowest one): 40.5 meV per atom. The calculation puts the calculated volume at 132.61 Å³/cell. For the formation energy, the calculation gives -0.09 eV per atom.



# 2
A geometry-optimized Mn2SiPd structure, computed with PBE.

The structure belongs to space group I-42d (No. 122); the cell edges are 6.825, 6.825 and 5.054 Å and the angles 90.00°, 90.00° and 90.00°. The asymmetric unit holds Mn at (0.226, 0.250, 0.125), Si at (0.000, 0.000, 0.000) and Pd at (0.000, 0.000, 0.500).

The value obtained for the uncorrected formation energy is 0.59 eV per formula unit. The calculation puts the calculated volume at 235.38 Å³/cell.



# 3
A geometry-optimized YCoB structure, computed with PBE.

The structure belongs to space group P-6m2 (No. 187); the cell edges are 3.5669, 3.5669 and 3.9848 Å and the angles 90.00°, 90.00° and 120.00°. The asymmetric unit holds Y at (0.0000, 0.0000, 0.0000), Co at (0.6667, 0.3333, 0.5000) and B at (0.3333, 0.6667, 0.5000).

As for the polymorph energy (0 for the lowest one): 163.3 meV per atom. The calculation puts the calculated volume at 43.91 Å³/cell. For the formation energy, the calculation gives -0.33 eV per atom.



# 4
A geometry-optimized Cd2GaCo2 structure, computed with PBE.

The structure belongs to space group P4/mbm (No. 127); the cell edges are 6.082, 6.082 and 4.252 Å and the angles 90.00°, 90.00° and 90.00°. The asymmetric unit holds Cd at (0.170, 0.330, 0.000), Ga at (0.000, 0.000, 0.500) and Co at (0.133, 0.633, 0.500).

The calculation puts the calculated volume at 157.31 Å³/cell. For the formation energy, the calculation gives 0.05 eV per atom.